Below is a geometry-optimized InSiAu structure, with properties calculated at the GGA-PBE level.

Unit cell a=3.161 b=3.161 c=12.041 alpha=90.00 beta=90.00 gamma=90.00
Space group I4mm (No. 107)
One atom of each set of equivalent atoms:
In1 0.000 0.000 0.000 x2
Si1 0.000 0.000 0.688 x2
Au1 0.000 0.000 0.312 x2

Properties
- Total energy: -3.63 eV per atom
- D(E_F): 0.248 states/eV/atom
- Formation energy from raw total energies: 0.1859 eV per atom